# 1
Sr2VZn | PBE | relaxed

Cell lengths 4.875, 4.875, 22.088 Å; angles 90.00, 90.00, 90.00 degrees
Space group I-42d (No. 122)
Unique sites:
Sr 0.245 0.250 0.125
V 0.000 0.000 0.500
Zn 0.000 0.000 0.000

Summary:
DOS at the Fermi energy	5.38	states/eV/f.u.
formation energy	882	meV per atom
final energy	-40.919	eV for the cell shown


# 2
Li2In5Pb5 | PBE | relaxed

Cell lengths 13.844, 4.800, 10.831 Å; angles 90.00, 114.35, 90.00 degrees
Space group C2/m (No. 12)
Unique sites:
Li 0.083 0.000 0.256
In 0.000 0.500 0.000
In 0.073 0.500 0.743
In 0.173 0.500 0.505
Pb 0.000 0.000 0.500
Pb 0.157 0.000 0.997
Pb 0.239 0.500 0.248

Summary:
DOS at the Fermi energy	4.49	states/eV/f.u.
formation energy	-66	meV per atom
final energy	-73.702	eV for the cell shown


# 3
BaMo2Pb | PBE | relaxed

Cell lengths 4.853, 4.853, 3.731 Å; angles 90.00, 90.00, 90.00 degrees
Space group P4/mmm (No. 123)
Unique sites:
Ba 0.000 0.000 0.000
Mo 0.000 0.500 0.500
Pb 0.500 0.500 0.000

Summary:
DOS at the Fermi energy	5.22	states/eV/f.u.
formation energy	1295	meV per atom
final energy	-22.115	eV for the cell shown


# 4
Dy2ZrPa | PBE | relaxed

Cell lengths 3.2881, 3.2881, 35.3205 Å; angles 90.00, 90.00, 120.00 degrees
Space group R-3m (No. 166, hexagonal axes)
Unique sites:
Dy 0.0000 0.0000 0.0886
Zr 0.0000 0.0000 0.0000
Pa 0.0000 0.0000 0.5000

Summary:
DOS at the Fermi energy	4.79	states/eV/f.u.
formation energy	309	meV per atom
final energy	-78.032	eV for the cell shown


# 5
CsRb2As | PBE | relaxed

Cell lengths 10.825, 8.667, 10.932 Å; angles 90.00, 109.98, 90.00 degrees
Space group P2_1/c (No. 14)
Unique sites:
Cs 0.051 0.013 0.210
Rb 0.288 0.645 0.132
Rb 0.326 0.205 0.977
As 0.044 0.136 0.529

Summary:
DOS at the Fermi energy	3.62	states/eV/f.u.
formation energy	-209	meV per atom
final energy	-33.096	eV for the cell shown


# 6
Mn4NbCo | PBE | relaxed

Cell lengths 6.633, 6.633, 6.633 Å; angles 90.00, 90.00, 90.00 degrees
Space group F-43m (No. 216)
Unique sites:
Mn 0.123 0.123 0.123
Nb 0.000 0.000 0.500
Co 0.250 0.250 0.750

Summary:
DOS at the Fermi energy	4.29	states/eV/f.u.
formation energy	19	meV per atom
final energy	-214.968	eV for the cell shown


Question: DOS at the Fermi energy of number 6 (Mn4NbCo)?
Answer: 4.29 states/eV/f.u.


Question: Among the records above, which one has the highest final energy?
Answer: BaMo2Pb